# 1
## Li2NiBiO4 (GGA+U)

Data for Li2NiBiO4 after structural relaxation.

Values from the calculation:
SG = No. 21

Cell: 6.260 8.315 8.315 Å, 65.18 112.10 112.10°
Fractional coordinates of all 32 atoms:
Li  0.122  0.622  0.122
Li  0.878  0.878  0.378
Li  0.622  0.122  0.622
Li  0.378  0.378  0.878
Li  0.250  0.250  0.250
Li  0.000  0.500  0.500
Li  0.750  0.750  0.750
Li  0.500  0.000  0.000
Ni  0.124  0.124  0.624
Ni  0.876  0.376  0.876
Ni  0.624  0.624  0.124
Ni  0.376  0.876  0.376
Bi  0.000  0.000  0.000
Bi  0.750  0.250  0.250
Bi  0.500  0.500  0.500
Bi  0.250  0.750  0.750
O  0.629  0.863  0.894
O  0.371  0.106  0.137
O  0.129  0.363  0.394
O  0.871  0.606  0.637
O  0.627  0.394  0.362
O  0.373  0.638  0.606
O  0.127  0.894  0.862
O  0.873  0.138  0.106
O  0.500  0.744  0.256
O  0.250  0.003  0.497
O  0.000  0.244  0.756
O  0.750  0.503  0.997
O  0.250  0.497  0.003
O  0.000  0.756  0.244
O  0.750  0.997  0.503
O  0.500  0.256  0.744

=====

# 2
## Li2NiBiO4 (GGA+U)

Data for Li2NiBiO4 after structural relaxation.

Values from the calculation:
SG = No. 119

Cell: 4.433 4.433 5.467 Å, 113.92 113.92 90.00°
Fractional coordinates of all 8 atoms:
Li  0.000  0.000  0.000
Li  0.750  0.250  0.500
Ni  0.500  0.500  0.000
Bi  0.250  0.750  0.500
O  0.734  0.734  0.468
O  0.266  0.266  0.532
O  0.498  0.998  0.997
O  0.002  0.502  0.003

=====

In the order shown, the computed energy relative to the lowest polymorph listed for this composition values come out to 0.00, 0.10 kcal/mol of atoms.
In the order shown, the computed spin magnetization values come out to 2.0, 2.1 μB/f.u..
In the order shown, the computed uncorrected energy values come out to -164.2, -41.0 eV for the cell shown.